! ScSnSb2N, optimized geometry, DFT PBE-GGA; values from VASP
! Magnetization (μB/f.u.): 0.0
! Calculated density (g/cm³): 6.362
! Formation energy (no corrections) (eV/atom): -0.11
&SYSTEM
  ibrav = 0, nat = 5, ntyp = 4
/
ATOMIC_SPECIES
Sc 44.96 Sc.upf
Sn 118.71 Sn.upf
Sb 121.76 Sb.upf
N 14.01 N.upf
ATOMIC_POSITIONS angstrom
Sc 0.000 0.000 0.000
Sn 2.544 2.544 0.000
Sb 0.000 2.544 2.124
Sb 2.544 0.000 2.124
N 0.000 0.000 2.124
CELL_PARAMETERS angstrom
5.087 0.000 0.000
0.000 5.087 0.000
0.000 0.000 4.247

! Dy3BiSb2, optimized geometry, DFT PBE-GGA; values from VASP
! Magnetization (μB/f.u.): 0.0
! Calculated density (g/cm³): 8.562
! Formation energy (no corrections) (eV/atom): -1.04
&SYSTEM
  ibrav = 0, nat = 12, ntyp = 3
/
ATOMIC_SPECIES
Dy 162.50 Dy.upf
Bi 208.98 Bi.upf
Sb 121.76 Sb.upf
ATOMIC_POSITIONS angstrom
Dy 1.912 3.310 0.000
Dy 0.594 1.129 3.590
Dy -0.678 -1.129 7.190
Dy 0.641 -3.310 3.600
Dy 5.784 1.129 0.011
Dy 4.513 -1.129 3.611
Bi 3.189 1.083 1.800
Bi 1.918 -1.083 5.401
Sb 3.189 5.513 1.800
Sb 1.918 3.287 5.401
Sb 3.189 -3.287 1.800
Sb 1.918 -5.513 5.401
CELL_PARAMETERS angstrom
3.825 -6.620 0.000
3.825 6.620 0.000
-2.543 0.000 7.201

! TiAlP, optimized geometry, DFT PBE-GGA; values from VASP
! Magnetization (μB/f.u.): 0.0
! Calculated formation energy (eV/atom): -0.33
! Calculated density (g/cm³): 3.441
&SYSTEM
  ibrav = 0, nat = 6, ntyp = 3
/
ATOMIC_SPECIES
Ti 47.87 Ti.upf
Al 26.98 Al.upf
P 30.97 P.upf
ATOMIC_POSITIONS angstrom
Ti 0.000 0.000 1.585
Ti 0.000 0.000 17.383
Al 0.000 0.000 6.573
Al 0.000 0.000 12.395
P 0.000 0.000 4.142
P 0.000 0.000 14.826
CELL_PARAMETERS angstrom
2.160 1.247 6.323
-2.160 1.247 6.323
0.000 -2.494 6.323

! NaCa2Au, optimized geometry, DFT PBE-GGA; values from VASP
! Magnetization (μB/f.u.): 0.0
! Calculated formation energy (eV/atom): -0.37
! Calculated density (g/cm³): 3.444
&SYSTEM
  ibrav = 0, nat = 4, ntyp = 3
/
ATOMIC_SPECIES
Na 22.99 Na.upf
Ca 40.08 Ca.upf
Au 196.97 Au.upf
ATOMIC_POSITIONS angstrom
Na 0.000 0.000 0.000
Ca 0.000 0.000 15.420
Ca 0.000 0.000 21.372
Au 0.000 0.000 4.570
CELL_PARAMETERS angstrom
2.129 1.229 9.212
-2.129 1.229 9.212
0.000 -2.459 9.212

! SrTaTe2, optimized geometry, DFT PBE-GGA; values from VASP
! Magnetization (μB/f.u.): 2.4
! Calculated density (g/cm³): 5.438
! Formation energy (no corrections) (eV/atom): -0.17
&SYSTEM
  ibrav = 0, nat = 8, ntyp = 3
/
ATOMIC_SPECIES
Sr 87.62 Sr.upf
Ta 180.95 Ta.upf
Te 127.60 Te.upf
ATOMIC_POSITIONS angstrom
Sr 0.000 0.000 0.000
Sr 0.000 3.350 3.563
Ta 3.350 0.000 3.563
Ta 0.000 0.000 7.126
Te 1.675 -1.235 5.345
Te 2.115 1.675 1.782
Te 1.675 4.585 -1.782
Te 1.235 1.675 8.908
CELL_PARAMETERS angstrom
-3.350 3.350 7.126
3.350 -3.350 7.126
3.350 3.350 -7.126

! ScTlCd, optimized geometry, DFT PBE-GGA; values from VASP
! Magnetization (μB/f.u.): 0.0
! Calculated formation energy (eV/atom): -0.14
! Calculated density (g/cm³): 8.560
&SYSTEM
  ibrav = 0, nat = 6, ntyp = 3
/
ATOMIC_SPECIES
Sc 44.96 Sc.upf
Tl 204.38 Tl.upf
Cd 112.41 Cd.upf
ATOMIC_POSITIONS angstrom
Sc 1.218 1.619 1.282
Sc 8.500 5.073 4.034
Tl 3.633 4.011 0.719
Tl 6.085 2.681 4.596
Cd 3.652 1.906 3.259
Cd 6.066 4.787 2.056
CELL_PARAMETERS angstrom
4.866 0.000 0.000
2.425 5.426 0.000
2.427 1.266 5.316

! ErZn17Ag, optimized geometry, DFT PBE-GGA; values from VASP
! Magnetization (μB/f.u.): 0.0
! Calculated formation energy (eV/atom): -0.09
! Calculated density (g/cm³): 7.548
&SYSTEM
  ibrav = 0, nat = 19, ntyp = 3
/
ATOMIC_SPECIES
Er 167.26 Er.upf
Zn 65.41 Zn.upf
Ag 107.87 Ag.upf
ATOMIC_POSITIONS angstrom
Er 0.000 0.000 0.000
Zn -1.464 -2.364 4.433
Zn -2.779 -0.085 4.433
Zn -2.256 -1.302 6.851
Zn 0.000 0.000 3.151
Zn 0.000 -2.614 6.581
Zn -2.264 1.307 6.581
Zn 1.464 -2.364 4.433
Zn -1.316 2.450 4.433
Zn 0.000 0.000 5.810
Zn -2.211 -1.276 10.996
Zn 2.779 -0.085 4.433
Zn 1.316 2.450 4.433
Zn 2.256 -1.302 6.851
Zn 0.000 2.605 6.851
Zn 2.264 1.307 6.581
Zn 2.211 -1.276 10.996
Zn 0.000 2.553 10.996
Ag 0.000 0.000 9.958
CELL_PARAMETERS angstrom
4.453 2.571 4.443
-4.453 2.571 4.443
0.000 -5.142 4.443

! Ca3GeI, optimized geometry, DFT PBE-GGA; values from VASP
! Magnetization (μB/f.u.): 0.0
! Calculated density (g/cm³): 2.787
! Formation energy (no corrections) (eV/atom): -0.56
&SYSTEM
  ibrav = 0, nat = 5, ntyp = 3
/
ATOMIC_SPECIES
Ca 40.08 Ca.upf
Ge 72.64 Ge.upf
I 126.90 I.upf
ATOMIC_POSITIONS angstrom
Ca 0.000 0.000 2.877
Ca 0.000 2.877 0.000
Ca 2.877 0.000 0.000
Ge 0.000 0.000 0.000
I 2.877 2.877 2.877
CELL_PARAMETERS angstrom
5.754 0.000 0.000
0.000 5.754 0.000
0.000 0.000 5.754

! UFeHg, optimized geometry, DFT PBE-GGA; values from VASP
! Magnetization (μB/f.u.): 1.3
! Calculated formation energy (eV/atom): 0.27
! Calculated density (g/cm³): 13.193
&SYSTEM
  ibrav = 0, nat = 6, ntyp = 3
/
ATOMIC_SPECIES
U 238.03 U.upf
Fe 55.84 Fe.upf
Hg 200.59 Hg.upf
ATOMIC_POSITIONS angstrom
U -0.520 0.000 2.185
U 4.401 0.000 9.631
Fe 1.059 0.000 0.778
Fe 2.822 0.000 11.038
Hg -0.455 0.000 7.112
Hg 4.336 0.000 4.704
CELL_PARAMETERS angstrom
3.386 -1.555 0.000
3.386 1.555 0.000
-2.892 0.000 11.816

! AlAsP, optimized geometry, DFT PBE-GGA; values from VASP
! Magnetization (μB/f.u.): 0.0
! Calculated formation energy (eV/atom): 0.21
! Calculated density (g/cm³): 3.810
&SYSTEM
  ibrav = 0, nat = 3, ntyp = 3
/
ATOMIC_SPECIES
Al 26.98 Al.upf
As 74.92 As.upf
P 30.97 P.upf
ATOMIC_POSITIONS angstrom
Al 0.000 0.000 0.000
As 4.606 4.606 4.606
P 1.535 1.535 1.535
CELL_PARAMETERS angstrom
0.000 3.071 3.071
3.071 0.000 3.071
3.071 3.071 0.000

! LiLuIn2, optimized geometry, DFT PBE-GGA; values from VASP
! Magnetization (μB/f.u.): 0.0
! Calculated formation energy (eV/atom): -0.34
! Calculated density (g/cm³): 7.428
&SYSTEM
  ibrav = 0, nat = 4, ntyp = 3
/
ATOMIC_SPECIES
Li 6.94 Li.upf
Lu 174.97 Lu.upf
In 114.82 In.upf
ATOMIC_POSITIONS angstrom
Li 0.000 0.000 0.000
Lu 3.583 3.583 3.583
In 1.792 1.792 1.792
In 5.375 5.375 5.375
CELL_PARAMETERS angstrom
0.000 3.583 3.583
3.583 0.000 3.583
3.583 3.583 0.000

! YMnAs2, optimized geometry, DFT PBE-GGA; values from VASP
! Magnetization (μB/f.u.): 3.1
! Calculated formation energy (eV/atom): -0.55
! Calculated density (g/cm³): 5.751
&SYSTEM
  ibrav = 0, nat = 4, ntyp = 3
/
ATOMIC_SPECIES
Y 88.91 Y.upf
Mn 54.94 Mn.upf
As 74.92 As.upf
ATOMIC_POSITIONS angstrom
Y 0.000 0.000 0.000
Mn 1.911 0.000 2.836
As 1.911 1.955 1.345
As 1.911 1.955 4.327
CELL_PARAMETERS angstrom
3.822 0.000 0.000
0.000 3.911 0.000
0.000 0.000 5.673

! KGdF4, optimized geometry, DFT PBE-GGA; values from VASP
! Magnetization (μB/f.u.): 6.9
! Calculated density (g/cm³): 5.034
! Formation energy (no corrections) (eV/atom): -3.68
&SYSTEM
  ibrav = 0, nat = 24, ntyp = 3
/
ATOMIC_SPECIES
K 39.10 K.upf
Gd 157.25 Gd.upf
F 19.00 F.upf
ATOMIC_POSITIONS angstrom
K 1.395 0.922 3.146
K 1.718 2.767 10.969
K 4.508 0.922 4.676
K 4.831 2.767 12.499
Gd 1.548 2.767 6.891
Gd 1.565 0.922 14.714
Gd 4.661 2.767 0.932
Gd 4.677 0.922 8.754
F 0.026 0.922 0.897
F 0.574 0.922 12.673
F 0.670 0.922 5.744
F 0.832 0.922 8.395
F 2.281 2.767 0.573
F 2.442 2.767 13.567
F 2.539 2.767 4.850
F 3.087 2.767 8.720
F 3.139 0.922 6.926
F 3.687 0.922 10.796
F 3.783 0.922 2.078
F 3.945 0.922 15.073
F 5.394 2.767 7.250
F 5.555 2.767 9.901
F 5.652 2.767 2.973
F 6.200 2.767 14.749
CELL_PARAMETERS angstrom
6.226 0.000 0.000
0.000 3.689 0.000
0.000 0.000 15.645

! HfTiNb6, optimized geometry, DFT PBE-GGA; values from VASP
! Magnetization (μB/f.u.): 0.0
! Calculated formation energy (eV/atom): 0.04
! Calculated density (g/cm³): 8.809
&SYSTEM
  ibrav = 0, nat = 8, ntyp = 3
/
ATOMIC_SPECIES
Hf 178.49 Hf.upf
Ti 47.87 Ti.upf
Nb 92.91 Nb.upf
ATOMIC_POSITIONS angstrom
Hf 0.000 0.000 0.000
Ti 3.326 0.000 0.000
Nb 1.663 2.349 0.000
Nb 3.326 2.360 2.364
Nb 1.739 0.000 2.364
Nb 1.663 -2.349 0.000
Nb 4.914 0.000 2.364
Nb 3.326 -2.360 2.364
CELL_PARAMETERS angstrom
3.326 -4.698 0.000
3.326 4.698 0.000
0.000 0.000 4.727

! Tl4AgAu, optimized geometry, DFT PBE-GGA; values from VASP
! Magnetization (μB/f.u.): 0.0
! Calculated formation energy (eV/atom): 0.38
! Calculated density (g/cm³): 10.672
&SYSTEM
  ibrav = 0, nat = 6, ntyp = 3
/
ATOMIC_SPECIES
Tl 204.38 Tl.upf
Ag 107.87 Ag.upf
Au 196.97 Au.upf
ATOMIC_POSITIONS angstrom
Tl 1.110 1.110 1.110
Tl 3.327 3.327 1.110
Tl 3.327 1.110 3.327
Tl 1.110 3.327 3.327
Ag 6.655 6.655 6.655
Au 4.436 4.436 4.436
CELL_PARAMETERS angstrom
0.000 4.436 4.436
4.436 0.000 4.436
4.436 4.436 0.000

! ReTeAs3, optimized geometry, DFT PBE-GGA; values from VASP
! Magnetization (μB/f.u.): 0.0
! Calculated density (g/cm³): 7.787
! Formation energy (no corrections) (eV/atom): 0.48
&SYSTEM
  ibrav = 0, nat = 5, ntyp = 3
/
ATOMIC_SPECIES
Re 186.21 Re.upf
Te 127.60 Te.upf
As 74.92 As.upf
ATOMIC_POSITIONS angstrom
Re 0.000 0.000 0.000
Te 2.430 2.430 2.430
As 0.000 0.000 2.430
As 0.000 2.430 0.000
As 2.430 0.000 0.000
CELL_PARAMETERS angstrom
4.861 0.000 0.000
0.000 4.861 0.000
0.000 0.000 4.861

! MgSi2Os, optimized geometry, DFT PBE-GGA; values from VASP
! Magnetization (μB/f.u.): 0.0
! Calculated density (g/cm³): 4.693
! Formation energy (no corrections) (eV/atom): 0.48
&SYSTEM
  ibrav = 0, nat = 8, ntyp = 3
/
ATOMIC_SPECIES
Mg 24.30 Mg.upf
Si 28.09 Si.upf
Os 190.23 Os.upf
ATOMIC_POSITIONS angstrom
Mg 0.000 0.000 0.000
Mg 0.000 3.021 2.624
Si 1.510 -1.113 3.936
Si 1.908 1.510 1.312
Si 1.510 4.134 -1.312
Si 1.113 1.510 6.560
Os 3.021 0.000 2.624
Os 0.000 0.000 5.248
CELL_PARAMETERS angstrom
-3.021 3.021 5.248
3.021 -3.021 5.248
3.021 3.021 -5.248

! SrY2Lu, optimized geometry, DFT PBE-GGA; values from VASP
! Magnetization (μB/f.u.): 0.0
! Calculated formation energy (eV/atom): 0.13
! Calculated density (g/cm³): 4.974
&SYSTEM
  ibrav = 0, nat = 4, ntyp = 3
/
ATOMIC_SPECIES
Sr 87.62 Sr.upf
Y 88.91 Y.upf
Lu 174.97 Lu.upf
ATOMIC_POSITIONS angstrom
Sr 0.000 0.000 0.000
Y 1.996 1.996 2.761
Y 1.996 1.996 6.468
Lu 0.000 0.000 4.614
CELL_PARAMETERS angstrom
3.992 0.000 0.000
0.000 3.992 0.000
0.000 0.000 9.228

! ScNb5Os6, optimized geometry, DFT PBE-GGA; values from VASP
! Magnetization (μB/f.u.): 0.0
! Calculated formation energy (eV/atom): -0.22
! Calculated density (g/cm³): 14.038
&SYSTEM
  ibrav = 0, nat = 12, ntyp = 3
/
ATOMIC_SPECIES
Sc 44.96 Sc.upf
Nb 92.91 Nb.upf
Os 190.23 Os.upf
ATOMIC_POSITIONS angstrom
Sc 0.000 0.000 0.000
Nb 2.254 0.000 2.352
Nb 0.000 0.000 4.550
Nb 0.000 3.147 0.000
Nb 0.000 0.000 9.214
Nb 0.000 3.147 4.530
Os 2.254 -1.574 4.672
Os 2.254 1.586 0.000
Os 0.000 1.573 2.210
Os 2.254 1.574 4.672
Os 0.000 1.561 6.882
Os 0.000 4.720 2.210
CELL_PARAMETERS angstrom
-2.254 3.147 6.882
2.254 -3.147 6.882
2.254 3.147 -6.882

! SrAc2Be2P4, optimized geometry, DFT PBE-GGA; values from VASP
! Magnetization (μB/f.u.): 0.0
! Calculated formation energy (eV/atom): -0.89
! Calculated density (g/cm³): 5.527
&SYSTEM
  ibrav = 0, nat = 9, ntyp = 4
/
ATOMIC_SPECIES
Sr 87.62 Sr.upf
Ac 227.00 Ac.upf
Be 9.01 Be.upf
P 30.97 P.upf
ATOMIC_POSITIONS angstrom
Sr 0.000 0.000 0.000
Ac 0.449 0.000 3.849
Ac 12.152 0.000 2.883
Be 4.921 0.000 0.109
Be 7.680 0.000 6.623
P 2.800 0.000 1.161
P 6.421 0.000 1.765
P 6.181 0.000 4.966
P 9.801 0.000 5.571
CELL_PARAMETERS angstrom
7.708 -1.979 0.000
7.708 1.979 0.000
-2.815 0.000 6.732